Material: MnCu6Au
Method: DFT, PBE-GGA
State: relaxed

Calculated values
ΔE_f: 58 meV per atom
space group: P-6m2

```
MnCu6Au
1.0
-3.962 0.333 -1.629
-2.038 -0.247 4.906
1.267 4.711 -2.118
Mn Cu Au
1 6 1
Direct
0.500 0.416 0.584
0.000 0.080 0.415
0.000 0.585 0.920
0.000 0.585 0.415
0.500 0.429 0.090
0.500 0.910 0.571
0.500 0.911 0.089
0.000 0.083 0.917
```



Material: Mn2CuAu
Method: DFT, PBE-GGA
State: relaxed

Calculated values
ΔE_f: 117 meV per atom
space group: I4/mmm

```
Mn2CuAu
1.0
4.695 0.033 0.000
1.285 4.516 0.000
-2.990 -2.275 2.816
Au Cu Mn
1 1 2
Direct
0.250 0.750 0.500
0.750 0.250 0.500
0.000 0.000 0.000
0.500 0.500 0.000
```



Look up the ΔE_f of the first one. 58 meV per atom